Record 1
Computed, not measured: a relaxed Ni12B2H5 crystal at the PBE level of DFT.

The value obtained for the spin magnetization is 0.00 μB per atom. As for the electronic total energy: -0.1931 hartree per atom. As for the density of states at the Fermi level: 27.935 states/eV per cell.

The structure belongs to space group C2/m (No. 12); the cell edges are 9.9767, 5.0045 and 6.5484 Å and the angles 90.00°, 106.93° and 90.00°. Symmetry generates all atoms from Ni at (0.0469, 0.0000, 0.3227), Ni at (0.0686, 0.5000, 0.2917), Ni at (0.1236, 0.2432, 0.9909), Ni at (0.1987, 0.2491, 0.6519), B at (0.0000, 0.3029, 0.5000), H at (0.0000, 0.5000, 0.0000), H at (0.1852, 0.0000, 0.1989) and H at (0.2389, 0.0000, 0.8762).


Record 2
Computed, not measured: a relaxed Ac3Pr4Y crystal at the PBE level of DFT.

The polymorph energy (0 for the lowest one) comes out at 46 meV per atom. The formation energy from the elements comes out at 0.076 eV/atom. The value obtained for the spin magnetization is 0.00 μB per atom. As for the electronic total energy: -0.1713 hartree per atom. As for the density of states at the Fermi level: 28.860 states/eV per cell.

The structure belongs to space group Immm (No. 71); the cell edges are 3.9210, 6.2128 and 25.7607 Å and the angles 90.00°, 90.00° and 90.00°. Symmetry generates all atoms from Ac at (0.0000, 0.0000, 0.0000), Ac at (0.0000, 0.5000, 0.3625), Pr at (0.0000, 0.0000, 0.2673), Pr at (0.0000, 0.5000, 0.1109) and Y at (0.0000, 0.0000, 0.5000).


Record 3
Computed, not measured: a relaxed Ta2InRe crystal at the PBE level of DFT.

The formation energy from the elements comes out at 0.096 eV/atom. The value obtained for the spin magnetization is 0.00 μB per atom. As for the electronic total energy: -0.3538 hartree per atom. As for the density of states at the Fermi level: 4.435 states/eV per cell.

The structure belongs to space group Immm (No. 71); the cell edges are 3.4000, 4.6241 and 9.1159 Å and the angles 90.00°, 90.00° and 90.00°. Symmetry generates all atoms from Ta at (0.0000, 0.0000, 0.2317), In at (0.0000, 0.5000, 0.0000) and Re at (0.0000, 0.5000, 0.5000).


Record 4
Computed, not measured: a relaxed CrFe3Cl crystal at the PBE level of DFT.

The formation energy from raw total energies comes out at 1.29 eV per atom. The value obtained for the spin magnetization is 0.96 μB per atom. As for the electronic total energy: -0.2237 hartree per atom. As for the density of states at the Fermi level: 4.931 states/eV per cell.

The structure belongs to space group Pm-3m (No. 221); the cell edges are 4.3671, 4.3671 and 4.3671 Å and the angles 90.00°, 90.00° and 90.00°. Symmetry generates all atoms from Cr at (0.0000, 0.0000, 0.0000), Fe at (0.0000, 0.0000, 0.5000) and Cl at (0.5000, 0.5000, 0.5000).


Record 5
Computed, not measured: a relaxed TcAsCl2 crystal at the PBE level of DFT.

The formation energy from raw total energies comes out at 0.47 eV per atom. The polymorph energy (0 for the lowest one) comes out at 685 meV per atom. The value obtained for the spin magnetization is 0.00 μB per atom. As for the electronic total energy: -0.1546 hartree per atom. As for the density of states at the Fermi level: 5.012 states/eV per cell.

The structure belongs to space group P4/mmm (No. 123); the cell edges are 2.9632, 2.9632 and 9.7262 Å and the angles 90.00°, 90.00° and 90.00°. Symmetry generates all atoms from Tc at (0.0000, 0.0000, 0.0000), As at (0.0000, 0.0000, 0.5000) and Cl at (0.5000, 0.5000, 0.1517).


Record 6
Computed, not measured: a relaxed SrNi3C crystal at the PBE level of DFT.

The polymorph energy (0 for the lowest one) comes out at 47 meV per atom. The formation energy from the elements comes out at 0.191 eV/atom. The value obtained for the spin magnetization is 0.19 μB per atom. As for the electronic total energy: -0.2006 hartree per atom. As for the density of states at the Fermi level: 8.504 states/eV per cell.

The structure belongs to space group Pm-3m (No. 221); the cell edges are 4.0465, 4.0465 and 4.0465 Å and the angles 90.00°, 90.00° and 90.00°. Symmetry generates all atoms from Sr at (0.0000, 0.0000, 0.0000), Ni at (0.0000, 0.5000, 0.5000) and C at (0.5000, 0.5000, 0.5000).


Record 7
Computed, not measured: a relaxed TlZnHg crystal at the PBE level of DFT.

The polymorph energy (0 for the lowest one) comes out at 27 meV per atom. The formation energy from the elements comes out at 0.087 eV/atom. The value obtained for the spin magnetization is 0.00 μB per atom. As for the electronic total energy: -0.0451 hartree per atom. As for the density of states at the Fermi level: 2.657 states/eV per cell.

The structure belongs to space group P2_1/m (No. 11); the cell edges are 6.0143, 4.0033 and 6.2451 Å and the angles 90.00°, 94.33° and 90.00°. Symmetry generates all atoms from Tl at (0.0756, 0.2500, 0.2436), Zn at (0.3500, 0.7500, 0.5200) and Hg at (0.3836, 0.2500, 0.8476).


Record 8
Computed, not measured: a relaxed P3AuF crystal at the PBE level of DFT.

The formation energy from raw total energies comes out at 0.91 eV per atom. The polymorph energy (0 for the lowest one) comes out at 0 meV per atom. The value obtained for the spin magnetization is 0.00 μB per atom. As for the electronic total energy: -0.1238 hartree per atom. As for the density of states at the Fermi level: 5.396 states/eV per cell.

The structure belongs to space group Pm-3m (No. 221); the cell edges are 4.3819, 4.3819 and 4.3819 Å and the angles 90.00°, 90.00° and 90.00°. Symmetry generates all atoms from P at (0.0000, 0.0000, 0.5000), Au at (0.5000, 0.5000, 0.5000) and F at (0.0000, 0.0000, 0.0000).


Record 9
Computed, not measured: a relaxed TaCo crystal at the PBE level of DFT.

The formation energy from the elements comes out at 0.099 eV/atom. The value obtained for the spin magnetization is 0.00 μB per atom. As for the electronic total energy: -0.3447 hartree per atom. As for the density of states at the Fermi level: 2.857 states/eV per cell.

The structure belongs to space group P6_3/mmc (No. 194); the cell edges are 3.1408, 3.1408 and 7.0777 Å and the angles 90.00°, 90.00° and 120.00°. Symmetry generates all atoms from Ta at (0.0000, 0.0000, 0.0000) and Co at (0.3333, 0.6667, 0.2500).


Record 10
Computed, not measured: a relaxed KHg4Au crystal at the PBE level of DFT.

The polymorph energy (0 for the lowest one) comes out at 105 meV per atom. The formation energy from the elements comes out at -0.069 eV/atom. The value obtained for the spin magnetization is 0.00 μB per atom. As for the electronic total energy: -0.0367 hartree per atom. As for the density of states at the Fermi level: 2.264 states/eV per cell.

The structure belongs to space group F-43m (No. 216); the cell edges are 8.8280, 8.8280 and 8.8280 Å and the angles 90.00°, 90.00° and 90.00°. Symmetry generates all atoms from K at (0.0000, 0.0000, 0.0000), Hg at (0.1245, 0.1245, 0.3755) and Au at (0.2500, 0.2500, 0.7500).


Record 11
Computed, not measured: a relaxed InSb2P crystal at the PBE level of DFT.

The formation energy from raw total energies comes out at 0.40 eV per atom. The polymorph energy (0 for the lowest one) comes out at 308 meV per atom. The value obtained for the spin magnetization is 0.00 μB per atom. As for the electronic total energy: -0.1359 hartree per atom. As for the density of states at the Fermi level: 5.118 states/eV per cell.

The structure belongs to space group I4/mmm (No. 139); the cell edges are 4.2834, 4.2834 and 10.8470 Å and the angles 90.00°, 90.00° and 90.00°. Symmetry generates all atoms from In at (0.0000, 0.0000, 0.0000), Sb at (0.0000, 0.5000, 0.2500) and P at (0.0000, 0.0000, 0.5000).


Record 12
Computed, not measured: a relaxed HgOs2 crystal at the PBE level of DFT.

The polymorph energy (0 for the lowest one) comes out at 442 meV per atom. The formation energy from the elements comes out at 0.837 eV/atom. The value obtained for the spin magnetization is 0.00 μB per atom. As for the electronic total energy: -0.2481 hartree per atom. As for the density of states at the Fermi level: 11.753 states/eV per cell.

The structure belongs to space group Cm (No. 8); the cell edges are 10.8564, 2.8356 and 6.6234 Å and the angles 90.00°, 105.64° and 90.00°. Symmetry generates all atoms from Hg at (0.0000, 0.0000, 0.0000), Hg at (0.1621, 0.5000, 0.3376), Os at (0.0411, 0.0000, 0.6128), Os at (0.2290, 0.5000, 0.8943), Os at (0.3395, 0.0000, 0.6503) and Os at (0.3755, 0.0000, 0.2709).